DFT (PBE with a Hubbard U) results for a relaxed structure of Li4Nb2V3Cu3O16.

Its uncorrected energy is -193.2 eV/cell. As for the calculated density: 4.411 g cm⁻³. As for the space group: P1.

a b c (Å): 6.010 5.905 9.850
angles (deg): 90.02 88.15 118.82
Atoms (fractional coordinates):
O (0.521, 0.044, 0.841)
O (0.951, 0.479, 0.837)
O (0.533, 0.521, 0.838)
O (0.699, 0.342, 0.606)
O (0.976, 0.001, 0.801)
O (0.539, 0.973, 0.354)
O (0.372, 0.683, 0.119)
O (0.139, 0.810, 0.591)
O (0.795, 0.145, 0.091)
O (0.665, 0.833, 0.601)
O (0.077, 0.531, 0.348)
O (0.989, 0.991, 0.288)
O (0.315, 0.161, 0.077)
O (0.546, 0.544, 0.350)
O (0.165, 0.328, 0.588)
O (0.796, 0.652, 0.088)
Li (0.998, 0.000, 0.483)
Li (0.982, 0.991, 0.993)
Li (0.711, 0.342, 0.404)
Li (0.324, 0.678, 0.910)
Nb (0.655, 0.322, 0.000)
Nb (0.314, 0.660, 0.498)
V (0.796, 0.654, 0.721)
V (0.652, 0.809, 0.237)
V (0.812, 0.169, 0.719)
Cu (0.173, 0.827, 0.205)
Cu (0.171, 0.339, 0.205)
Cu (0.332, 0.171, 0.714)